Record 1
Density functional theory data (PBE) for a relaxed PuMg9Cd3 crystal.

Cell lengths 5.854, 7.733, 7.739 Å; angles 81.95, 67.78, 68.27 degrees
Fractional coordinates of all 13 atoms:
Mg 0.503 0.210 0.787
Cd 0.500 0.000 0.500
Pu 0.000 0.000 0.000
Cd 0.500 0.500 0.000
Mg 0.709 0.790 0.787
Mg 0.996 0.652 0.352
Mg 0.004 0.348 0.648
Cd 0.000 0.000 0.500
Mg 0.652 0.348 0.352
Mg 0.497 0.790 0.213
Mg 0.000 0.500 0.000
Mg 0.348 0.652 0.648
Mg 0.291 0.210 0.213

Energy relative to the elements = -0.0335 eV/atom
Final energy = -2.451 eV/atom
Space-group type = C2/m

Record 2
Density functional theory data (PBE) for a relaxed PuMgCd2 crystal.

Cell lengths 3.180, 3.180, 10.917 Å; angles 81.56, 81.56, 60.06 degrees
Fractional coordinates of all 4 atoms:
Mg 0.667 0.667 0.000
Pu 0.500 0.500 0.500
Cd 0.079 0.079 0.763
Cd 0.254 0.254 0.237

Energy relative to the elements = 0.0046 eV/atom
Final energy = -4.435 eV/atom
Space-group type = Cm

Record 3
Density functional theory data (PBE) for a relaxed PuMg5Cd6 crystal.

Cell lengths 4.829, 7.848, 7.604 Å; angles 90.00, 108.17, 90.00 degrees
Fractional coordinates of all 12 atoms:
Mg 0.332 0.000 0.663
Cd 0.171 0.742 0.341
Mg 0.668 0.000 0.337
Pu 0.000 0.000 0.000
Mg 0.332 0.500 0.666
Cd 0.500 0.266 0.000
Cd 0.829 0.742 0.659
Mg 0.668 0.500 0.334
Cd 0.829 0.258 0.659
Cd 0.171 0.258 0.341
Mg 0.000 0.500 0.000
Cd 0.500 0.734 0.000

Energy relative to the elements = -0.0657 eV/atom
Final energy = -2.382 eV/atom
Space-group type = P2/m

Record 4
Density functional theory data (PBE) for a relaxed PuMg4Cd5 crystal.

Cell lengths 3.279, 3.279, 20.804 Å; angles 90.00, 90.00, 90.00 degrees
Fractional coordinates of all 10 atoms:
Mg 0.000 0.000 0.403
Cd 0.500 0.500 0.500
Cd 0.500 0.500 0.114
Mg 0.000 0.000 0.597
Pu 0.000 0.000 0.000
Cd 0.500 0.500 0.693
Mg 0.000 0.000 0.789
Mg 0.000 0.000 0.211
Cd 0.500 0.500 0.886
Cd 0.500 0.500 0.307

Energy relative to the elements = -0.0917 eV/atom
Final energy = -2.620 eV/atom
Space-group type = P4/mmm

> Number 4 is which compound?

PuMg4Cd5